Record 1
A plane-wave DFT calculation with meta-GGA SCAN was carried out for a crystal of BaMg3Ir relaxed with PBEsol.

ρ = 5028 kg/m³
N(E_F) = 2.70 states/eV/f.u.
Crystal system = cubic
Symmetry = Pm-3m (221)
Uncorrected energy = -127.1 eV/cell
Formation energy from the elements = -0.31 eV per atom

Geometry as POSCAR:
```
BaMg3Ir
1.0
5.103 0.000 0.000
0.000 5.103 0.000
0.000 0.000 5.103
Ba Mg Ir
1 3 1
Direct
0.000 0.000 0.000 Ba
0.000 0.500 0.500 Mg
0.500 0.000 0.500 Mg
0.500 0.500 0.000 Mg
0.500 0.500 0.500 Ir
```


Record 2
A plane-wave DFT calculation with meta-GGA SCAN was carried out for a crystal of BeGeB3 relaxed with PBEsol.

ρ = 3683 kg/m³
N(E_F) = 1.98 states/eV/f.u.
Crystal system = cubic
Symmetry = Pm-3m (221)
Uncorrected energy = -37.3 eV/cell
Formation energy from the elements = 1.68 eV per atom

Geometry as POSCAR:
```
BeGeB3
1.0
3.719 0.000 0.000
0.000 3.719 0.000
0.000 0.000 3.719
Be Ge B
1 1 3
Direct
0.000 0.000 0.000 Be
0.500 0.500 0.500 Ge
0.000 0.000 0.500 B
0.000 0.500 0.000 B
0.500 0.000 0.000 B
```


Record 3
A plane-wave DFT calculation with meta-GGA SCAN was carried out for a crystal of NaC3Br relaxed with PBEsol.

E_form (uncorrected) = 4.05 eV per atom
ρ = 2840 kg/m³
N(E_F) = 4.31 states/eV/f.u.
Crystal system = cubic
Symmetry = Pm-3m (221)
Uncorrected energy = -33.7 eV/cell

Geometry as POSCAR:
```
NaC3Br
1.0
4.331 0.000 0.000
0.000 4.331 0.000
0.000 0.000 4.331
Na C Br
1 3 1
Direct
0.000 0.000 0.000 Na
0.000 0.000 0.500 C
0.000 0.500 0.000 C
0.500 0.000 0.000 C
0.500 0.500 0.500 Br
```


Record 4
A plane-wave DFT calculation with meta-GGA SCAN was carried out for a crystal of KBaTl relaxed with PBEsol.

ρ = 4450 kg/m³
N(E_F) = 5.74 states/eV/f.u.
Crystal system = cubic
Symmetry = F-43m (216)
Uncorrected energy = -120.7 eV/cell
Formation energy from the elements = -0.16 eV per atom

Geometry as POSCAR:
```
KBaTl
1.0
0.000 4.142 4.142
4.142 0.000 4.142
4.142 4.142 0.000
K Ba Tl
1 1 1
Direct
0.000 0.000 0.000 K
0.500 0.500 0.500 Ba
0.750 0.750 0.750 Tl
```


Record 5
A plane-wave DFT calculation with meta-GGA SCAN was carried out for a crystal of TaHgP3 relaxed with PBEsol.

ρ = 7212 kg/m³
N(E_F) = 3.22 states/eV/f.u.
Crystal system = cubic
Symmetry = Pm-3m (221)
Uncorrected energy = -163.9 eV/cell
Formation energy from the elements = 0.41 eV per atom

Geometry as POSCAR:
```
TaHgP3
1.0
4.780 0.000 0.000
0.000 4.780 0.000
0.000 0.000 4.780
Ta Hg P
1 1 3
Direct
0.000 0.000 0.000 Ta
0.500 0.500 0.500 Hg
0.000 0.000 0.500 P
0.000 0.500 0.000 P
0.500 0.000 0.000 P
```


Record 6
A plane-wave DFT calculation with meta-GGA SCAN was carried out for a crystal of Rb2Cr2CdH4O10 relaxed with PBEsol.

ρ = 3537 kg/m³
N(E_F) = 0.00 states/eV/f.u.
Crystal system = triclinic
Symmetry = P-1 (2)
Uncorrected energy = -434.1 eV/cell

Geometry as POSCAR:
```
Rb2Cr2CdH4O10
1.0
6.714 0.000 0.000
2.902 7.148 0.000
2.864 2.559 10.787
Rb Cr Cd H O
4 4 2 8 20
Direct
0.189 0.247 0.100 Rb
0.270 0.733 0.421 Rb
0.730 0.267 0.579 Rb
0.811 0.753 0.900 Rb
0.261 0.226 0.416 Cr
0.276 0.768 0.076 Cr
0.724 0.232 0.924 Cr
0.739 0.774 0.584 Cr
0.250 0.030 0.754 Cd
0.750 0.970 0.246 Cd
0.155 0.434 0.700 H
0.335 0.615 0.832 H
0.344 0.342 0.790 H
0.365 0.700 0.689 H
0.635 0.300 0.311 H
0.656 0.658 0.210 H
0.665 0.385 0.168 H
0.845 0.566 0.300 H
0.041 0.388 0.365 O
0.115 0.878 0.187 O
0.159 0.643 0.043 O
0.189 0.099 0.555 O
0.259 0.723 0.767 O
0.285 0.320 0.726 O
0.324 0.934 0.951 O
0.383 0.083 0.319 O
0.429 0.331 0.423 O
0.488 0.371 0.877 O
0.512 0.629 0.123 O
0.571 0.669 0.577 O
0.617 0.917 0.681 O
0.676 0.066 0.049 O
0.715 0.680 0.274 O
0.741 0.277 0.233 O
0.811 0.901 0.445 O
0.841 0.357 0.957 O
0.885 0.122 0.813 O
0.959 0.612 0.635 O
```


Record 7
A plane-wave DFT calculation with meta-GGA SCAN was carried out for a crystal of BaHF2 relaxed with PBEsol.

ρ = 3960 kg/m³
N(E_F) = 0.75 states/eV/f.u.
Crystal system = trigonal
Symmetry = R-3m (166)
Uncorrected energy = -58.8 eV/cell

Geometry as POSCAR:
```
BaHF2
1.0
1.899 1.096 5.920
-1.899 1.096 5.920
0.000 -2.193 5.920
Ba H F
1 1 2
Direct
0.000 0.000 0.000 Ba
0.500 0.500 0.500 H
0.435 0.435 0.435 F
0.565 0.565 0.565 F
```


Record 8
A plane-wave DFT calculation with meta-GGA SCAN was carried out for a crystal of Tc3Ru relaxed with PBEsol.

ρ = 11861 kg/m³
Distance to the lowest polymorph of the same formula = 0.099 eV per atom
N(E_F) = 3.97 states/eV/f.u.
Crystal system = cubic
Symmetry = Pm-3m (221)
Uncorrected energy = -139.8 eV/cell
Formation energy from the elements = 0.04 eV per atom

Geometry as POSCAR:
```
Tc3Ru
1.0
3.810 0.000 0.000
0.000 3.810 0.000
0.000 0.000 3.810
Tc Ru
3 1
Direct
0.000 0.000 0.500 Tc
0.000 0.500 0.000 Tc
0.500 0.000 0.000 Tc
0.500 0.500 0.500 Ru
```


> Which formula does entry 2 have?

BeGeB3


Copy entry 8 word for word.
A plane-wave DFT calculation with meta-GGA SCAN was carried out for a crystal of Tc3Ru relaxed with PBEsol.

ρ = 11861 kg/m³
Distance to the lowest polymorph of the same formula = 0.099 eV per atom
N(E_F) = 3.97 states/eV/f.u.
Crystal system = cubic
Symmetry = Pm-3m (221)
Uncorrected energy = -139.8 eV/cell
Formation energy from the elements = 0.04 eV per atom

Geometry as POSCAR:
```
Tc3Ru
1.0
3.810 0.000 0.000
0.000 3.810 0.000
0.000 0.000 3.810
Tc Ru
3 1
Direct
0.000 0.000 0.500 Tc
0.000 0.500 0.000 Tc
0.500 0.000 0.000 Tc
0.500 0.500 0.500 Ru
```


> Which formula does entry 7 have?

BaHF2


> The lowest N(E_F) belongs to which entry?

Rb2Cr2CdH4O10